1.
A geometry-optimized LiMgCoB structure. Source: the Open Quantum Materials Database, functional PBE-GGA.

## Properties
**Energy above the most stable polymorph in this dataset**: 0.0 kJ/mol of atoms

Cell lengths 5.516, 5.516, 5.516 Å; angles 90.00, 90.00, 90.00 degrees
Space group F-43m (No. 216)
Inequivalent atoms, fractional coordinates:
1 Li 0.000 0.000 0.000
2 Mg 0.250 0.250 0.250
3 Co 0.250 0.250 0.750
4 B 0.000 0.000 0.500


2.
A geometry-optimized LiMgCoB structure. Source: the Open Quantum Materials Database, functional PBE-GGA.

## Properties
**Energy above the most stable polymorph in this dataset**: 4.8 kJ/mol of atoms

Cell lengths 5.546, 5.546, 5.546 Å; angles 90.00, 90.00, 90.00 degrees
Space group F-43m (No. 216)
Inequivalent atoms, fractional coordinates:
1 Li 0.000 0.000 0.000
2 Mg 0.250 0.250 0.250
3 Co 0.000 0.000 0.500
4 B 0.250 0.250 0.750


| no. | total magnetization (Bohr magnetons per cell) |
| --- | --- |
| 1 | 0.02 |
| 2 | 0.00 |